Entry 1:
The following is a PBE-GGA calculation of an optimized crystal structure of Al4FeTc, from the Alexandria database.

As for the crystal system: cubic. For the formation energy, the calculation gives 0.11 eV per atom. The size of the total moment is 11.8 μB/cell.

Geometry as CIF:
```
data_Al4FeTc
_chemical_formula_sum 'Al16 Fe4 Tc4'
_space_group_name_H-M_alt 'F -4 3 m'
_space_group_IT_number 216
_space_group_name_Hall 'F -4 2 3'
_cell_length_a 7.046
_cell_length_b 7.046
_cell_length_c 7.046
_cell_angle_alpha 90.00
_cell_angle_beta 90.00
_cell_angle_gamma 90.00
loop_
_atom_site_label
_atom_site_type_symbol
_atom_site_fract_x
_atom_site_fract_y
_atom_site_fract_z
Al1 Al 0.125 0.125 0.125
Fe1 Fe 0.250 0.250 0.750
Tc1 Tc 0.000 0.000 0.500
```

***

Entry 2:
The following is a PBE-GGA calculation of an optimized crystal structure of BaPm2Al, from the Alexandria database.

As for the crystal system: tetragonal. For the formation energy, the calculation gives -0.06 eV per atom. The size of the total moment is 0.0 μB/cell.

Geometry as CIF:
```
data_BaPm2Al
_chemical_formula_sum 'Ba1 Pm2 Al1'
_space_group_name_H-M_alt 'P 4/m m m'
_space_group_IT_number 123
_space_group_name_Hall '-P 4 2'
_cell_length_a 3.765
_cell_length_b 3.765
_cell_length_c 9.914
_cell_angle_alpha 90.00
_cell_angle_beta 90.00
_cell_angle_gamma 90.00
loop_
_atom_site_label
_atom_site_type_symbol
_atom_site_fract_x
_atom_site_fract_y
_atom_site_fract_z
Ba1 Ba 0.000 0.000 0.000
Pm1 Pm 0.500 0.500 0.322
Al1 Al 0.000 0.000 0.500
```

***

Entry 3:
The following is a PBE-GGA calculation of an optimized crystal structure of Mg2FeSe, from the Alexandria database.

As for the crystal system: orthorhombic. As for the formation energy (no corrections): -0.20 eV/atom. The size of the total moment is 4.3 μB/cell.

Geometry as CIF:
```
data_Mg2FeSe
_chemical_formula_sum 'Mg4 Fe2 Se2'
_space_group_name_H-M_alt 'A m m 2'
_space_group_IT_number 38
_space_group_name_Hall 'A 2 -2'
_cell_length_a 3.725
_cell_length_b 3.695
_cell_length_c 10.564
_cell_angle_alpha 90.00
_cell_angle_beta 90.00
_cell_angle_gamma 90.00
loop_
_atom_site_label
_atom_site_type_symbol
_atom_site_fract_x
_atom_site_fract_y
_atom_site_fract_z
Mg1 Mg 0.000 0.000 0.000
Mg2 Mg 0.500 0.000 0.320
Fe1 Fe 0.000 0.000 0.738
Se1 Se 0.500 0.000 0.590
```